# 1
LiNiAgB2 after structural relaxation. Source: Alexandria via LeMat-Bulk, functional PBE.

The volume is 73 Å³/cell. The symmetry is P4/mmm, No. 123. As for the total DFT energy (no corrections): -3.296 eV per atom.

Cell: 4.079 4.385 4.079 Å, 90.00 90.00 90.00°
Sites, in units of the cell vectors:
Ni (0.500, 0.500, 0.500)
B (0.000, 0.000, 0.500)
B (0.500, 0.000, 0.000)
Ag (0.000, 0.000, 0.000)
Li (0.000, 0.500, 0.000)

---

# 2
Li2Ag2BPd4 after structural relaxation. Source: Alexandria via LeMat-Bulk, functional PBE.

The volume is 134 Å³/cell. The symmetry is I4/mmm, No. 139. As for the total DFT energy (no corrections): -4.370 eV per atom.

Cell: 5.787 5.787 5.787 Å, 87.45 121.49 121.49°
Sites, in units of the cell vectors:
Li (0.000, 0.727, 0.727)
Li (0.000, 0.273, 0.273)
Ag (0.500, 0.750, 0.250)
Ag (0.500, 0.250, 0.750)
B (0.000, 0.000, 0.000)
Pd (0.000, 0.747, 0.253)
Pd (0.494, 0.747, 0.747)
Pd (0.000, 0.253, 0.747)
Pd (0.506, 0.253, 0.253)

---

# 3
Li2AgB2Pd5 after structural relaxation. Source: Alexandria via LeMat-Bulk, functional PBE.

The volume is 281 Å³/cell. The symmetry is P4/mbm, No. 127. As for the total DFT energy (no corrections): -4.914 eV per atom.

Cell: 2.979 9.708 9.708 Å, 90.00 90.00 90.00°
Sites, in units of the cell vectors:
Li (0.000, 0.677, 0.177)
Li (0.000, 0.323, 0.823)
Li (0.000, 0.177, 0.323)
Li (0.000, 0.823, 0.677)
Ag (0.000, 0.000, 0.000)
Ag (0.000, 0.500, 0.500)
B (0.000, 0.126, 0.626)
B (0.000, 0.874, 0.374)
B (0.000, 0.626, 0.874)
B (0.000, 0.374, 0.126)
Pd (0.500, 0.225, 0.072)
Pd (0.500, 0.775, 0.928)
Pd (0.500, 0.072, 0.775)
Pd (0.500, 0.725, 0.428)
Pd (0.500, 0.928, 0.225)
Pd (0.500, 0.275, 0.572)
Pd (0.500, 0.572, 0.725)
Pd (0.500, 0.428, 0.275)
Pd (0.500, 0.500, 0.000)
Pd (0.500, 0.000, 0.500)

---

# 4
LiAg2BPt after structural relaxation. Source: Alexandria via LeMat-Bulk, functional PBE.

The volume is 80 Å³/cell. The symmetry is P4/mmm, No. 123. As for the total DFT energy (no corrections): -4.096 eV per atom.

Cell: 4.416 4.416 4.101 Å, 90.00 90.00 90.00°
Sites, in units of the cell vectors:
B (0.000, 0.000, 0.000)
Ag (0.000, 0.500, 0.000)
Ag (0.500, 0.000, 0.000)
Pt (0.000, 0.000, 0.500)
Li (0.500, 0.500, 0.500)

---

Number 1: calculated formation energy 1.48 eV/atom. Number 2: calculated formation energy -0.26 eV/atom. Number 3: calculated formation energy -0.31 eV/atom. Number 4: calculated formation energy -0.03 eV/atom.